Computed, not measured: a PBEsol-optimized structure of K2Mo2Se2O11 at the SCAN level of DFT.

```
K2Mo2Se2O11
1.0
10.2722 0.0000 0.0000
0.0000 14.7847 0.0000
0.0000 0.0000 6.6703
K Mo Se O
8 8 8 44
Direct
0.0000 0.0000 0.0000
0.0000 0.5000 0.0000
0.0251 0.2500 0.0278
0.4749 0.7500 0.5278
0.5000 0.0000 0.5000
0.5000 0.5000 0.5000
0.5251 0.2500 0.4722
0.9749 0.7500 0.9722
0.1643 0.1267 0.4785
0.1643 0.3733 0.4785
0.3357 0.6267 0.9785
0.3357 0.8733 0.9785
0.6643 0.1267 0.0215
0.6643 0.3733 0.0215
0.8357 0.6267 0.5215
0.8357 0.8733 0.5215
0.1599 0.6141 0.5063
0.1599 0.8859 0.5063
0.3401 0.1141 0.0063
0.3401 0.3859 0.0063
0.6599 0.6141 0.9937
0.6599 0.8859 0.9937
0.8401 0.1141 0.4937
0.8401 0.3859 0.4937
0.0328 0.6057 0.6697
0.0328 0.8943 0.6697
0.0844 0.1146 0.7043
0.0844 0.3854 0.7043
0.1224 0.2500 0.4293
0.1776 0.6438 0.0492
0.1776 0.8562 0.0492
0.1836 0.5039 0.4163
0.1836 0.9961 0.4163
0.2066 0.1283 0.1576
0.2066 0.3717 0.1576
0.2934 0.6283 0.6576
0.2934 0.8717 0.6576
0.3164 0.0039 0.9163
0.3164 0.4961 0.9163
0.3224 0.1438 0.5492
0.3224 0.3562 0.5492
0.3776 0.7500 0.9293
0.4156 0.6146 0.2043
0.4156 0.8854 0.2043
0.4672 0.1057 0.1697
0.4672 0.3943 0.1697
0.5328 0.6057 0.8303
0.5328 0.8943 0.8303
0.5844 0.1146 0.7957
0.5844 0.3854 0.7957
0.6224 0.2500 0.0707
0.6776 0.6438 0.4508
0.6776 0.8562 0.4508
0.6836 0.5039 0.0837
0.6836 0.9961 0.0837
0.7066 0.1283 0.3424
0.7066 0.3717 0.3424
0.7934 0.6283 0.8424
0.7934 0.8717 0.8424
0.8164 0.0039 0.5837
0.8164 0.4961 0.5837
0.8224 0.1438 0.9508
0.8224 0.3562 0.9508
0.8776 0.7500 0.5707
0.9156 0.6146 0.2957
0.9156 0.8854 0.2957
0.9672 0.1057 0.3303
0.9672 0.3943 0.3303
```

Computed properties:
DOS(E_F) in states/eV/f.u.: 0.00
Formation energy (no corrections) in eV/atom: -1.774
Spin magnetization in μB/atom: 0.00